Fe2AuC (PBE-GGA, relaxed); DFT formation energy = 0.47 eV per atom; uncorrected energy = -6.888 eV per atom
1.0
5.995 0.000 0.000
0.000 5.995 0.000
2.998 2.998 2.728
C Au Fe
2 2 4
Cartesian
2.998 2.998 0.000 C
2.998 5.995 1.364 C
0.000 0.000 0.000 Au
5.995 2.998 1.364 Au
3.862 1.499 0.682 Fe
2.133 4.496 0.682 Fe
4.496 5.131 2.046 Fe
7.494 6.859 2.046 Fe

***

FeAuC2 (PBE-GGA, relaxed); energy above the lowest structure with this stoichiometry = 199.7 meV per atom; DFT formation energy = 0.84 eV per atom; uncorrected energy = -6.703 eV per atom
1.0
5.690 0.000 -0.012
0.000 2.850 0.000
-1.068 0.000 5.842
C Au Fe
4 2 2
Cartesian
4.926 0.000 3.854 C
5.460 1.425 0.933 C
-0.158 0.000 5.060 C
0.377 1.425 2.139 C
2.926 0.000 3.241 Au
3.460 1.425 0.320 Au
1.214 0.000 1.002 Fe
0.680 1.425 3.923 Fe

***

FeAuC2 (PBE-GGA, relaxed); energy above the lowest structure with this stoichiometry = 0.0 meV per atom; DFT formation energy = 0.64 eV per atom; uncorrected energy = -6.902 eV per atom
1.0
5.365 0.000 -0.241
0.000 2.614 0.000
-2.928 0.000 6.831
C Au Fe
4 2 2
Cartesian
4.394 0.000 1.164 C
-1.956 0.000 5.426 C
2.930 1.307 4.580 C
-0.492 1.307 2.011 C
1.219 1.307 3.295 Au
2.683 0.000 -0.120 Au
0.000 1.307 0.000 Fe
-1.464 0.000 3.416 Fe